one) DFT (SCAN) results for a crystal of Al2CoAg relaxed with PBEsol.

The space group is P4/mmm (No. 123) and the conventional cell measures 2.855, 2.855 and 6.660 Å, with angles of 90.00, 90.00 and 90.00 degrees. The distinct sites, in fractional coordinates, are Al at (0.000, 0.000, 0.208), Co at (0.500, 0.500, 0.000) and Ag at (0.500, 0.500, 0.500).

The calculation puts the volume at 13.6 Å³ per atom.

two) DFT (SCAN) results for a crystal of Al2CoAg relaxed with PBEsol.

The space group is Pmm2 (No. 25) and the conventional cell measures 2.896, 3.540 and 5.434 Å, with angles of 90.00, 90.00 and 90.00 degrees. The distinct sites, in fractional coordinates, are Al at (0.000, 0.000, 0.000), Al at (0.500, 0.500, 0.292), Co at (0.000, 0.000, 0.453) and Ag at (0.500, 0.500, 0.761).

The calculation puts the volume at 13.9 Å³ per atom.

three) DFT (SCAN) results for a crystal of Al2CoAg relaxed with PBEsol.

The space group is F-43m (No. 216) and the conventional cell measures 6.049, 6.049 and 6.049 Å, with angles of 90.00, 90.00 and 90.00 degrees. The distinct sites, in fractional coordinates, are Al at (0.000, 0.000, 0.000), Al at (0.250, 0.250, 0.250), Co at (0.000, 0.000, 0.500) and Ag at (0.250, 0.250, 0.750).

The calculation puts the volume at 13.8 Å³ per atom.

What should be chosen as the most stable of them? Choose one).

one) DFT (SCAN) results for a crystal of Al2CuAg relaxed with PBEsol.

The space group is Cmmm (No. 65) and the conventional cell measures 5.463, 7.159 and 3.012 Å, with angles of 90.00, 90.00 and 90.00 degrees. The distinct sites, in fractional coordinates, are Al at (0.250, 0.250, 0.000), Cu at (0.000, 0.000, 0.500) and Ag at (0.000, 0.500, 0.500).

The calculation puts the volume at 14.7 Å³ per atom.

two) DFT (SCAN) results for a crystal of Al2CuAg relaxed with PBEsol.

The space group is Pmm2 (No. 25) and the conventional cell measures 2.852, 4.499 and 4.564 Å, with angles of 90.00, 90.00 and 90.00 degrees. The distinct sites, in fractional coordinates, are Al at (0.000, 0.000, 0.000), Al at (0.500, 0.500, 0.194), Cu at (0.000, 0.500, 0.715) and Ag at (0.500, 0.000, 0.506).

The calculation puts the volume at 14.6 Å³ per atom.

three) DFT (SCAN) results for a crystal of Al2CuAg relaxed with PBEsol.

The space group is C2/m (No. 12) and the conventional cell measures 8.621, 2.811 and 4.985 Å, with angles of 90.00, 101.86 and 90.00 degrees. The distinct sites, in fractional coordinates, are Al at (0.243, 0.000, 0.234), Cu at (0.000, 0.500, 0.000) and Ag at (0.000, 0.000, 0.500).

The calculation puts the volume at 14.8 Å³ per atom.

What should be chosen as the most stable of them? Choose two).

one) DFT (SCAN) results for a crystal of Al2CuAg relaxed with PBEsol.

The space group is P4/mmm (No. 123) and the conventional cell measures 2.789, 2.789 and 7.517 Å, with angles of 90.00, 90.00 and 90.00 degrees. The distinct sites, in fractional coordinates, are Al at (0.000, 0.000, 0.223), Cu at (0.500, 0.500, 0.000) and Ag at (0.500, 0.500, 0.500).

The calculation puts the volume at 14.6 Å³ per atom.

two) DFT (SCAN) results for a crystal of Al2CuAg relaxed with PBEsol.

The space group is R-3m (No. 166, hexagonal axes) and the conventional cell measures 2.8360, 2.8360 and 25.4306 Å, with angles of 90.00, 90.00 and 120.00 degrees. The distinct sites, in fractional coordinates, are Al at (0.0000, 0.0000, 0.2445), Cu at (0.0000, 0.0000, 0.5000) and Ag at (0.0000, 0.0000, 0.0000).

The calculation puts the volume at 14.8 Å³ per atom.

What should be chosen as the most stable of them? Choose one).

one) DFT (SCAN) results for a crystal of Al2CuAg relaxed with PBEsol.

The space group is I4/mmm (No. 139) and the conventional cell measures 4.014, 4.014 and 7.274 Å, with angles of 90.00, 90.00 and 90.00 degrees. The distinct sites, in fractional coordinates, are Al at (0.000, 0.500, 0.250), Cu at (0.000, 0.000, 0.000) and Ag at (0.000, 0.000, 0.500).

The calculation puts the volume at 14.6 Å³ per atom.

two) DFT (SCAN) results for a crystal of Al2CuAg relaxed with PBEsol.

The space group is P4mm (No. 99) and the conventional cell measures 2.783, 2.783 and 7.663 Å, with angles of 90.00, 90.00 and 90.00 degrees. The distinct sites, in fractional coordinates, are Al at (0.000, 0.000, 0.000), Al at (0.500, 0.500, 0.273), Cu at (0.000, 0.000, 0.485) and Ag at (0.500, 0.500, 0.737).

The calculation puts the volume at 14.8 Å³ per atom.

What should be chosen as the most stable of them? Choose one).

one) DFT (SCAN) results for a crystal of AlCuAg relaxed with PBEsol.

The space group is F-43m (No. 216) and the conventional cell measures 5.829, 5.829 and 5.829 Å, with angles of 90.00, 90.00 and 90.00 degrees. The distinct sites, in fractional coordinates, are Al at (0.000, 0.000, 0.000), Cu at (0.250, 0.250, 0.250) and Ag at (0.000, 0.000, 0.500).

The calculation puts the volume at 16.5 Å³ per atom.

two) DFT (SCAN) results for a crystal of AlCuAg relaxed with PBEsol.

The space group is I4mm (No. 107) and the conventional cell measures 2.928, 2.928 and 9.926 Å, with angles of 90.00, 90.00 and 90.00 degrees. The distinct sites, in fractional coordinates, are Al at (0.000, 0.000, 0.000), Cu at (0.000, 0.000, 0.357) and Ag at (0.000, 0.000, 0.681).

The calculation puts the volume at 14.2 Å³ per atom.

three) DFT (SCAN) results for a crystal of AlCuAg relaxed with PBEsol.

The space group is I4mm (No. 107) and the conventional cell measures 3.129, 3.129 and 8.639 Å, with angles of 90.00, 90.00 and 90.00 degrees. The distinct sites, in fractional coordinates, are Al at (0.000, 0.000, 0.000), Cu at (0.000, 0.000, 0.644) and Ag at (0.000, 0.000, 0.321).

The calculation puts the volume at 14.1 Å³ per atom.

What should be chosen as the most stable of them? Choose three).

one) DFT (SCAN) results for a crystal of Al3AgF relaxed with PBEsol.

The space group is Pm-3m (No. 221) and the conventional cell measures 4.401, 4.401 and 4.401 Å, with angles of 90.00, 90.00 and 90.00 degrees. The distinct sites, in fractional coordinates, are Al at (0.000, 0.000, 0.500), Ag at (0.500, 0.500, 0.500) and F at (0.000, 0.000, 0.000).

The calculation puts the volume at 17.0 Å³ per atom.

two) DFT (SCAN) results for a crystal of Al3AgF relaxed with PBEsol.

The space group is Pm-3m (No. 221) and the conventional cell measures 4.776, 4.776 and 4.776 Å, with angles of 90.00, 90.00 and 90.00 degrees. The distinct sites, in fractional coordinates, are Al at (0.000, 0.000, 0.500), Ag at (0.000, 0.000, 0.000) and F at (0.500, 0.500, 0.500).

The calculation puts the volume at 21.8 Å³ per atom.

What should be chosen as the most stable of them? Choose one).